Below is BaCr2 after structural relaxation, with properties calculated at the PBE-GGA level.

Results
DFT formation energy ... 3.60 eV/f.u.
Total magnetic moment ... 0.73 Bohr magnetons per cell
Energy above the lowest structure with this stoichiometry ... 631 meV/atom

Cell: 3.026 24.198 3.602 Å, 90.00 90.00 90.00°
Sites, in units of the cell vectors:
Ba  0.000  0.123  0.250
Ba  0.000  0.877  0.750
Ba  0.500  0.377  0.750
Ba  0.500  0.623  0.250
Cr  0.000  0.240  0.750
Cr  0.000  0.479  0.250
Cr  0.000  0.521  0.750
Cr  0.000  0.760  0.250
Cr  0.500  0.021  0.750
Cr  0.500  0.260  0.250
Cr  0.500  0.740  0.750
Cr  0.500  0.979  0.250



Below is BaCr2 after structural relaxation, with properties calculated at the PBE-GGA level.

Results
DFT formation energy ... 1.84 eV/f.u.
Total magnetic moment ... 0.55 Bohr magnetons per cell
Energy above the lowest structure with this stoichiometry ... 43 meV/atom

Cell: 3.199 23.636 4.016 Å, 90.00 90.00 90.00°
Sites, in units of the cell vectors:
Ba  0.000  0.168  0.250
Ba  0.000  0.832  0.750
Ba  0.500  0.332  0.750
Ba  0.500  0.668  0.250
Cr  0.000  0.044  0.750
Cr  0.000  0.458  0.750
Cr  0.000  0.542  0.250
Cr  0.000  0.956  0.250
Cr  0.500  0.042  0.250
Cr  0.500  0.456  0.250
Cr  0.500  0.544  0.750
Cr  0.500  0.958  0.750



Below is BaCr after structural relaxation, with properties calculated at the PBE-GGA level.

Results
DFT formation energy ... 1.64 eV/f.u.
Total magnetic moment ... 9.98 Bohr magnetons per cell

Cell: 5.847 5.847 13.161 Å, 90.00 90.00 120.00°
Sites, in units of the cell vectors:
Ba  0.000  0.000  0.130
Ba  0.000  0.000  0.870
Ba  0.333  0.667  0.194
Ba  0.333  0.667  0.463
Ba  0.667  0.333  0.537
Ba  0.667  0.333  0.806
Cr  0.000  0.000  0.378
Cr  0.000  0.000  0.622
Cr  0.333  0.667  0.729
Cr  0.333  0.667  0.923
Cr  0.667  0.333  0.077
Cr  0.667  0.333  0.271



Below is BaCr7 after structural relaxation, with properties calculated at the PBE-GGA level.

Results
DFT formation energy ... 9.89 eV/f.u.
Total magnetic moment ... 16.21 Bohr magnetons per cell

Cell: 5.748 5.748 5.748 Å, 60.00 60.00 60.00°
Sites, in units of the cell vectors:
Ba  0.000  0.000  0.000
Cr  0.000  0.000  0.500
Cr  0.000  0.500  0.000
Cr  0.000  0.500  0.500
Cr  0.500  0.000  0.000
Cr  0.500  0.000  0.500
Cr  0.500  0.500  0.000
Cr  0.500  0.500  0.500



Below is Ba2Cr after structural relaxation, with properties calculated at the PBE-GGA level.

Results
DFT formation energy ... 1.65 eV/f.u.
Total magnetic moment ... 13.54 Bohr magnetons per cell
Energy above the lowest structure with this stoichiometry ... 16 meV/atom

Cell: 9.649 9.649 5.030 Å, 90.00 90.00 120.00°
Sites, in units of the cell vectors:
Ba  0.000  0.257  0.000
Ba  0.000  0.594  0.500
Ba  0.257  0.000  0.000
Ba  0.406  0.406  0.500
Ba  0.594  0.000  0.500
Ba  0.743  0.743  0.000
Cr  0.000  0.000  0.500
Cr  0.333  0.667  0.000
Cr  0.667  0.333  0.000



Below is Ba7Cr after structural relaxation, with properties calculated at the PBE-GGA level.

Results
DFT formation energy ... 2.51 eV/f.u.
Total magnetic moment ... 5.07 Bohr magnetons per cell

Cell: 8.598 8.598 8.598 Å, 60.00 60.00 60.00°
Sites, in units of the cell vectors:
Ba  0.000  0.000  0.000
Ba  0.000  0.000  0.500
Ba  0.000  0.500  0.000
Ba  0.000  0.500  0.500
Ba  0.500  0.000  0.000
Ba  0.500  0.000  0.500
Ba  0.500  0.500  0.000
Cr  0.500  0.500  0.500



- Which of these has the lowest total magnetic moment?
  number 2